Below is a relaxed structure of ZrSc4Al, with properties calculated at the PBE level.

abc: 4.4075 7.2640 8.4874
angles: 31.15 74.95 72.34
Fractional coordinates of all 6 atoms:
1 Zr 0.0000 0.0000 0.0000
2 Sc 0.6617 0.6765 0.0001
3 Sc 0.3383 0.3235 0.9999
4 Sc 0.1561 0.1876 0.5002
5 Sc 0.8439 0.8124 0.4998
6 Al 0.5000 0.5000 0.5000

Properties
crystal system: orthorhombic
energy above the most stable polymorph in this dataset: 0.000 eV per atom
energy of formation: -0.148 eV per atom
N(E_F): 8.6 states/eV/cell
calculated total energy: -0.4717 Ry/atom

---

Below is a relaxed structure of Rb2VRe, with properties calculated at the PBE level.

abc: 5.8916 5.8916 5.8916
angles: 60.00 60.00 60.00
Fractional coordinates of all 4 atoms:
1 Re 0.5000 0.5000 0.5000
2 Rb 0.2500 0.2500 0.2500
3 Rb 0.7500 0.7500 0.7500
4 V 0.0000 0.0000 0.0000

Properties
crystal system: cubic
energy above the most stable polymorph in this dataset: 0.868 eV per atom
energy of formation: 2.416 eV per atom
N(E_F): 9.3 states/eV/cell
calculated total energy: -0.2543 Ry/atom